{"formula": "K2HfGeTe", "functional": "SCAN", "state": "PBEsol geometry", "cell": [[4.905, 0.000, 0.000], [0.000, 6.739, 0.000], [0.000, 0.000, 6.739]], "species": ["K", "Ge", "Te", "Hf", "K"], "frac_coords": [[0.000, 0.000, 0.500], [0.500, 0.000, 0.000], [0.500, 0.500, 0.500], [0.000, 0.000, 0.000], [0.000, 0.500, 0.000]], "raw_formation_energy_ev_per_atom": 0.686, "dos_ef_per_ev_atom": 0.846, "total_magnetization_mub_per_atom": 0.311}